[1]
# PBE-GGA AlPdI2N, relaxed
# Electronic total energy ... -3.467 eV per atom
# Crystal system ... tetragonal
# Formation energy (no corrections) ... 0.606 eV/atom
# Offset from the most stable computed form ... 222 meV/atom
# Density ... 5.17 g/cm3
data_AlPdI2N
_symmetry_space_group_name_H-M 'P 4/m m m'
_symmetry_Int_Tables_number 123
_symmetry_space_group_name_Hall '-P 4 2'
_cell_length_a 5.831
_cell_length_b 5.831
_cell_length_c 3.790
_cell_angle_alpha 90.00
_cell_angle_beta 90.00
_cell_angle_gamma 90.00
loop_
_atom_site_label
_atom_site_type_symbol
_atom_site_fract_x
_atom_site_fract_y
_atom_site_fract_z
Al1 Al 0.000 0.000 0.000
Pd1 Pd 0.500 0.500 0.500
I1 I 0.000 0.500 0.500
N1 N 0.500 0.500 0.000

[2]
# PBE-GGA Sm7Ho2Th2, relaxed
# Electronic total energy ... -5.008 eV per atom
# Crystal system ... monoclinic
# ΔE_f ... 176.0 meV per atom
# Offset from the most stable computed form ... 0 meV/atom
# Density ... 8.33 g/cm3
data_Sm7Ho2Th2
_symmetry_space_group_name_H-M 'C 1 2/m 1'
_symmetry_Int_Tables_number 12
_cell_length_a 11.290
_cell_length_b 11.505
_cell_length_c 6.138
_cell_angle_alpha 90.00
_cell_angle_beta 112.56
_cell_angle_gamma 90.00
loop_
_symmetry_equiv_pos_as_xyz
'x,y,z'
'-x,-y,-z'
'-x,y,-z'
'x,-y,z'
'x+1/2,y+1/2,z'
'-x+1/2,-y+1/2,-z'
'-x+1/2,y+1/2,-z'
'x+1/2,-y+1/2,z'
loop_
_atom_site_label
_atom_site_type_symbol
_atom_site_fract_x
_atom_site_fract_y
_atom_site_fract_z
Sm1 Sm 0.000 0.000 0.000
Sm2 Sm 0.177 0.236 0.171
Sm3 Sm 0.234 0.000 0.588
Ho1 Ho 0.000 0.222 0.500
Th1 Th 0.076 0.500 0.804

[3]
# PBE-GGA BaBeRe3, relaxed
# Electronic total energy ... -4.354 eV per atom
# Crystal system ... cubic
# ΔE_f ... 4245.0 meV per atom
# Offset from the most stable computed form ... 2748 meV/atom
# Density ... 9.31 g/cm3
data_BaBeRe3
_symmetry_space_group_name_H-M 'P m -3 m'
_symmetry_Int_Tables_number 221
_symmetry_space_group_name_Hall '-P 4 2 3'
_cell_length_a 5.009
_cell_length_b 5.009
_cell_length_c 5.009
_cell_angle_alpha 90.00
_cell_angle_beta 90.00
_cell_angle_gamma 90.00
loop_
_atom_site_label
_atom_site_type_symbol
_atom_site_fract_x
_atom_site_fract_y
_atom_site_fract_z
Ba1 Ba 0.000 0.000 0.000
Be1 Be 0.500 0.500 0.500
Re1 Re 0.000 0.000 0.500

[4]
# PBE-GGA CePm2SmIn4, relaxed
# Electronic total energy ... -4.335 eV per atom
# Crystal system ... trigonal
# ΔE_f ... -446.9 meV per atom
# Density ... 7.56 g/cm3
data_CePm2SmIn4
_symmetry_space_group_name_H-M 'R -3 m'
_symmetry_Int_Tables_number 166
_symmetry_space_group_name_Hall '-R 3 2"'
_cell_length_a 5.4421
_cell_length_b 5.4421
_cell_length_c 26.7284
_cell_angle_alpha 90.00
_cell_angle_beta 90.00
_cell_angle_gamma 120.00
loop_
_atom_site_label
_atom_site_type_symbol
_atom_site_fract_x
_atom_site_fract_y
_atom_site_fract_z
Ce1 Ce 0.0000 0.0000 0.0000
Pm1 Pm 0.0000 0.0000 0.2496
Sm1 Sm 0.0000 0.0000 0.5000
In1 In 0.0000 0.0000 0.1254
In2 In 0.0000 0.0000 0.3754